SmDy6Y2Er3: relaxed, GGA-PBE.

energy of formation from the pure elements	19.3	meV per atom

```
data_SmDy6Y2Er3
_symmetry_space_group_name_H-M 'C 1 2/m 1'
_symmetry_Int_Tables_number 12
_cell_length_a 6.142
_cell_length_b 10.626
_cell_length_c 11.750
_cell_angle_alpha 90.00
_cell_angle_beta 99.97
_cell_angle_gamma 90.00
loop_
_symmetry_equiv_pos_as_xyz
'x,y,z'
'-x,-y,-z'
'-x,y,-z'
'x,-y,z'
'x+1/2,y+1/2,z'
'-x+1/2,-y+1/2,-z'
'-x+1/2,y+1/2,-z'
'x+1/2,-y+1/2,z'
loop_
_atom_site_label
_atom_site_type_symbol
_atom_site_fract_x
_atom_site_fract_y
_atom_site_fract_z
_atom_site_occupancy
Sm1 Sm 0.000 0.000 0.000 1
Dy1 Dy 0.248 0.000 0.748 1
Dy2 Dy 0.249 0.333 0.747 1
Y1 Y 0.000 0.333 0.000 1
Er1 Er 0.000 0.167 0.500 1
Er2 Er 0.000 0.500 0.500 1
```

---

TbPaCu: relaxed, GGA-PBE.

excess energy over the best structure of this formula in the dataset	353	meV per atom
energy of formation from the pure elements	323.9	meV per atom

```
data_TbPaCu
_symmetry_space_group_name_H-M 'P 3 m 1'
_symmetry_Int_Tables_number 156
_cell_length_a 4.8924
_cell_length_b 4.8924
_cell_length_c 3.2426
_cell_angle_alpha 90.00
_cell_angle_beta 90.00
_cell_angle_gamma 120.00
loop_
_symmetry_equiv_pos_as_xyz
'x,y,z'
'-y,x-y,z'
'-x+y,-x,z'
'-y,-x,z'
'-x+y,y,z'
'x,x-y,z'
loop_
_atom_site_label
_atom_site_type_symbol
_atom_site_fract_x
_atom_site_fract_y
_atom_site_fract_z
_atom_site_occupancy
Tb1 Tb 0.0000 0.0000 0.0000 1
Pa1 Pa 0.6667 0.3333 0.5834 1
Cu1 Cu 0.3333 0.6667 0.3312 1
```

---

Te2PtW: relaxed, GGA-PBE.

excess energy over the best structure of this formula in the dataset	285	meV per atom
ΔE_f (raw)	335.2	meV/atom

```
data_Te2PtW
_symmetry_space_group_name_H-M 'R -3 m'
_symmetry_Int_Tables_number 166
_symmetry_space_group_name_Hall '-R 3 2"'
_cell_length_a 3.4724
_cell_length_b 3.4724
_cell_length_c 23.5834
_cell_angle_alpha 90.00
_cell_angle_beta 90.00
_cell_angle_gamma 120.00
loop_
_atom_site_label
_atom_site_type_symbol
_atom_site_fract_x
_atom_site_fract_y
_atom_site_fract_z
_atom_site_occupancy
Te1 Te 0.0000 0.0000 0.2491 1
Pt1 Pt 0.0000 0.0000 0.0000 1
W1 W 0.0000 0.0000 0.5000 1
```

---

LaPdRh2: relaxed, GGA-PBE.

energy of formation from the pure elements	-214.5	meV per atom

```
data_LaPdRh2
_symmetry_space_group_name_H-M 'I -4 2 d'
_symmetry_Int_Tables_number 122
_symmetry_space_group_name_Hall 'I -4 2bw'
_cell_length_a 4.110
_cell_length_b 4.110
_cell_length_c 19.020
_cell_angle_alpha 90.00
_cell_angle_beta 90.00
_cell_angle_gamma 90.00
loop_
_atom_site_label
_atom_site_type_symbol
_atom_site_fract_x
_atom_site_fract_y
_atom_site_fract_z
_atom_site_occupancy
La1 La 0.000 0.000 0.000 1
Pd1 Pd 0.000 0.000 0.500 1
Rh1 Rh 0.195 0.250 0.625 1
```

---

LiThS: relaxed, GGA-PBE.

ΔE_f (raw)	-1039.6	meV/atom

```
data_LiThS
_symmetry_space_group_name_H-M 'C 1 2/m 1'
_symmetry_Int_Tables_number 12
_cell_length_a 6.570
_cell_length_b 3.776
_cell_length_c 11.503
_cell_angle_alpha 90.00
_cell_angle_beta 99.73
_cell_angle_gamma 90.00
loop_
_symmetry_equiv_pos_as_xyz
'x,y,z'
'-x,-y,-z'
'-x,y,-z'
'x,-y,z'
'x+1/2,y+1/2,z'
'-x+1/2,-y+1/2,-z'
'-x+1/2,y+1/2,-z'
'x+1/2,-y+1/2,z'
loop_
_atom_site_label
_atom_site_type_symbol
_atom_site_fract_x
_atom_site_fract_y
_atom_site_fract_z
_atom_site_occupancy
Li1 Li 0.112 0.000 0.379 1
Th1 Th 0.205 0.500 0.134 1
S1 S 0.075 0.500 0.688 1
```

---

KLaAu2S: relaxed, GGA-PBE.

ΔE_f (raw)	41.3	meV/atom

```
data_KLaAu2S
_symmetry_space_group_name_H-M 'P 4/m m m'
_symmetry_Int_Tables_number 123
_symmetry_space_group_name_Hall '-P 4 2'
_cell_length_a 5.050
_cell_length_b 5.050
_cell_length_c 5.306
_cell_angle_alpha 90.00
_cell_angle_beta 90.00
_cell_angle_gamma 90.00
loop_
_atom_site_label
_atom_site_type_symbol
_atom_site_fract_x
_atom_site_fract_y
_atom_site_fract_z
_atom_site_occupancy
K1 K 0.000 0.000 0.000 1
La1 La 0.500 0.500 0.000 1
Au1 Au 0.000 0.500 0.500 1
S1 S 0.000 0.000 0.500 1
```

---

Density of states at the Fermi level for every record listed, in sequence, given in states/eV/atom: 1.34; 1.52; 0.41; 1.47; 0.24; 0.87.
Magnetic moment for every record listed, in sequence, given in μB/cell: 0.0; 0.0; 0.0; 0.0; 0.0; 0.0.